# 1
Here is an optimized crystal structure of MnZnAu2 from Alexandria via LeMat-Bulk. Energies are from PBE-GGA.

Properties
Its formation energy is -0.001 eV/atom. As for the uncorrected energy: -51.01 eV per cell.

```
data_MnZnAu2
_chemical_formula_sum 'Mn3 Zn3 Au6'
_cell_length_a 3.0062
_cell_length_b 3.0062
_cell_length_c 25.8464
_cell_angle_alpha 90.00
_cell_angle_beta 90.00
_cell_angle_gamma 120.00
_symmetry_space_group_name_H-M 'R -3 m'
_symmetry_Int_Tables_number 166
_symmetry_space_group_name_Hall '-R 3 2"'
loop_
_atom_site_label
_atom_site_fract_x
_atom_site_fract_y
_atom_site_fract_z
Mn1 0.0000 0.0000 0.0000
Zn1 0.0000 0.0000 0.5000
Au1 0.0000 0.0000 0.2506
```



# 2
Here is an optimized crystal structure of Pr4NiAsBr2 from Alexandria via LeMat-Bulk. Energies are from PBE-GGA.

Properties
The value obtained for the uncorrected formation energy is -1.09 eV per atom. As for the uncorrected energy: -41.61 eV per cell.

```
data_Pr4NiAsBr2
_chemical_formula_sum 'Pr4 Ni1 As1 Br2'
_cell_length_a 7.5918
_cell_length_b 4.1058
_cell_length_c 7.7515
_cell_angle_alpha 90.00
_cell_angle_beta 107.21
_cell_angle_gamma 90.00
_symmetry_space_group_name_H-M 'P 1 2/m 1'
_symmetry_Int_Tables_number 10
loop_
_symmetry_equiv_pos_as_xyz
'x,y,z'
'-x,-y,-z'
'-x,y,-z'
'x,-y,z'
loop_
_atom_site_label
_atom_site_fract_x
_atom_site_fract_y
_atom_site_fract_z
Pr1 0.2131 0.0000 0.2004
Pr2 0.2577 0.5000 0.7851
Ni1 0.0000 0.5000 0.0000
As1 0.5000 0.0000 0.0000
Br1 0.0000 0.0000 0.5000
Br2 0.5000 0.5000 0.5000
```



# 3
Here is an optimized crystal structure of LiZr2Sc from Alexandria via LeMat-Bulk. Energies are from PBE-GGA.

Properties
Its formation energy is 0.133 eV/atom. As for the uncorrected energy: -49.62 eV per cell.

```
data_LiZr2Sc
_chemical_formula_sum 'Li2 Zr4 Sc2'
_cell_length_a 10.9342
_cell_length_b 3.1936
_cell_length_c 5.5337
_cell_angle_alpha 90.00
_cell_angle_beta 115.97
_cell_angle_gamma 90.00
_symmetry_space_group_name_H-M 'C 1 m 1'
_symmetry_Int_Tables_number 8
loop_
_symmetry_equiv_pos_as_xyz
'x,y,z'
'x,-y,z'
'x+1/2,y+1/2,z'
'x+1/2,-y+1/2,z'
loop_
_atom_site_label
_atom_site_fract_x
_atom_site_fract_y
_atom_site_fract_z
Li1 0.0000 0.0000 0.0000
Zr1 0.2298 0.5000 0.3764
Zr2 0.4916 0.0000 0.5240
Sc1 0.2632 0.0000 0.9026
```